1.
! V3OF11, relaxed, DFT GGA+U; values from VASP
! VASP energy in eV/atom: -5.7024
! Total magnetization in μB per formula unit: 2.000
! E above lowest polymorph in meV per atom: 29
! Space-group type: P1, No. 1
&SYSTEM
  ibrav = 0, nat = 30, ntyp = 3
/
ATOMIC_SPECIES
F 19.00 F.upf
V 50.94 V.upf
O 16.00 O.upf
CELL_PARAMETERS angstrom
5.228 0.008 0.001
0.015 5.500 -0.007
0.021 2.647 14.787
ATOMIC_POSITIONS crystal
F 0.727 0.546 0.361
F 0.792 0.355 0.690
F 0.781 0.041 0.360
F 0.075 0.623 0.781
F 0.586 0.871 0.218
F 0.900 0.704 0.551
F 0.737 0.212 0.033
F 0.239 0.284 0.971
F 0.084 0.277 0.446
F 0.688 0.856 0.690
F 0.293 0.475 0.640
F 0.281 0.139 0.304
F 0.364 0.464 0.105
F 0.318 0.808 0.973
F 0.893 0.028 0.894
F 0.188 0.973 0.642
F 0.401 0.128 0.780
F 0.805 0.691 0.033
F 0.098 0.951 0.119
F 0.577 0.203 0.550
F 0.391 0.787 0.446
F 0.886 0.369 0.223
V 0.490 0.165 0.665
V 0.035 0.998 0.002
V 0.541 0.500 0.998
V 0.990 0.665 0.665
V 0.510 0.848 0.334
V 0.028 0.376 0.329
O 0.586 0.544 0.890
O 0.215 0.620 0.307

2.
! V3O5F, relaxed, DFT GGA+U; values from VASP
! VASP energy in eV/atom: -7.5578
! Total magnetization in μB per formula unit: 4.000
! E above lowest polymorph in meV per atom: 37
! Space-group type: P1, No. 1
&SYSTEM
  ibrav = 0, nat = 18, ntyp = 3
/
ATOMIC_SPECIES
O 16.00 O.upf
V 50.94 V.upf
F 19.00 F.upf
CELL_PARAMETERS angstrom
4.693 0.000 -0.003
-0.028 5.554 0.004
-0.039 -0.793 7.467
ATOMIC_POSITIONS crystal
O 0.207 0.693 0.898
O 0.287 0.860 0.565
O 0.179 0.371 0.557
O 0.799 0.960 0.758
O 0.697 0.115 0.420
O 0.200 0.036 0.234
O 0.306 0.202 0.902
O 0.810 0.311 0.111
O 0.320 0.544 0.229
O 0.702 0.476 0.781
V 0.467 0.846 0.344
V 0.008 0.673 0.686
V 0.500 0.485 0.995
V 0.503 0.165 0.663
V 0.006 0.317 0.329
V 0.017 0.010 0.991
F 0.790 0.630 0.437
F 0.702 0.805 0.101

3.
! V2O2F3, relaxed, DFT GGA+U; values from VASP
! VASP energy in eV/atom: -6.7899
! Total magnetization in μB per formula unit: 3.000
! E above lowest polymorph in meV per atom: 0
! Space-group type: Cc, No. 9
&SYSTEM
  ibrav = 0, nat = 14, ntyp = 3
/
ATOMIC_SPECIES
F 19.00 F.upf
O 16.00 O.upf
V 50.94 V.upf
CELL_PARAMETERS angstrom
-2.301 0.477 -5.088
-3.984 -3.339 -2.095
-6.377 3.363 0.702
ATOMIC_POSITIONS crystal
F 0.611 0.397 0.749
F 0.397 0.611 0.249
F 0.695 0.063 0.465
F 0.942 0.313 0.038
F 0.313 0.942 0.538
F 0.063 0.695 0.965
O 0.875 0.547 0.353
O 0.478 0.097 0.141
O 0.097 0.478 0.641
O 0.547 0.875 0.853
V 0.288 0.313 0.378
V 0.716 0.696 0.619
V 0.313 0.288 0.878
V 0.696 0.716 0.119

4.
! V2O3F, relaxed, DFT GGA+U; values from VASP
! VASP energy in eV/atom: -7.4923
! Total magnetization in μB per formula unit: 3.000
! E above lowest polymorph in meV per atom: 7
! Space-group type: C2/m, No. 12
&SYSTEM
  ibrav = 0, nat = 24, ntyp = 3
/
ATOMIC_SPECIES
F 19.00 F.upf
V 50.94 V.upf
O 16.00 O.upf
CELL_PARAMETERS angstrom
5.556 0.002 0.002
1.711 5.286 0.002
0.353 0.257 8.953
ATOMIC_POSITIONS crystal
F 0.190 0.810 0.500
F 0.810 0.190 0.500
F 0.229 0.229 0.972
F 0.771 0.771 0.028
V 0.398 0.398 0.136
V 0.760 0.760 0.262
V 0.000 0.000 0.000
V 0.143 0.143 0.354
V 0.602 0.602 0.864
V 0.500 0.500 0.500
V 0.240 0.240 0.738
V 0.857 0.857 0.646
O 0.728 0.728 0.485
O 0.530 0.530 0.280
O 0.307 0.693 0.000
O 0.693 0.307 0.000
O 0.272 0.272 0.515
O 0.018 0.018 0.771
O 0.470 0.470 0.720
O 0.982 0.982 0.229
O 0.451 0.064 0.241
O 0.064 0.451 0.241
O 0.549 0.936 0.759
O 0.936 0.549 0.759